{"formula": "MoOs", "functional": "GGA-PBE", "state": "optimized geometry", "m_tot_mub_per_fu": 0.00, "crystal_system": "cubic", "mass_density_g_cm3": 13.80, "e_tot_ev_per_cell": -79.479, "lattice_angstrom": [[5.164, 0.000, 0.000], [0.000, 5.164, 0.000], [0.000, 0.000, 5.164]], "species": ["Mo", "Mo", "Mo", "Mo", "Os", "Os", "Os", "Os"], "frac_coords": [[0.000, 0.000, 0.000], [0.000, 0.500, 0.500], [0.500, 0.000, 0.500], [0.500, 0.500, 0.000], [0.000, 0.000, 0.500], [0.000, 0.500, 0.000], [0.500, 0.000, 0.000], [0.500, 0.500, 0.500]]}